1.
! Mn2HgBrF (GGA+U, relaxed); values from VASP
! Final energy in Ry per atom: -0.295
&SYSTEM
  ibrav = 0, nat = 5, ntyp = 4
/
ATOMIC_SPECIES
Mn 54.94 Mn.upf
Hg 200.59 Hg.upf
Br 79.90 Br.upf
F 19.00 F.upf
ATOMIC_POSITIONS angstrom
Mn 0.0000 2.3059 0.0000
Mn 2.3059 0.0000 0.0000
Hg 0.0000 0.0000 2.8569
Br 2.3059 2.3059 2.8569
F 0.0000 0.0000 0.0000
CELL_PARAMETERS angstrom
4.6118 0.0000 0.0000
0.0000 4.6118 0.0000
0.0000 0.0000 5.7137

---

2.
! MnHgBr2F (GGA+U, relaxed); values from VASP
! Final energy in Ry per atom: -0.268
&SYSTEM
  ibrav = 0, nat = 5, ntyp = 4
/
ATOMIC_SPECIES
Mn 54.94 Mn.upf
Hg 200.59 Hg.upf
Br 79.90 Br.upf
F 19.00 F.upf
ATOMIC_POSITIONS angstrom
Mn 0.0000 0.0000 0.0000
Hg 2.7537 2.7537 2.0132
Br 0.0000 2.7537 0.0000
Br 2.7537 0.0000 0.0000
F 0.0000 0.0000 2.0132
CELL_PARAMETERS angstrom
5.5075 0.0000 0.0000
0.0000 5.5075 0.0000
0.0000 0.0000 4.0265

---

3.
! MnHg3Br2F6 (GGA+U, relaxed); values from VASP
! Final energy in Ry per atom: -0.246
&SYSTEM
  ibrav = 0, nat = 12, ntyp = 4
/
ATOMIC_SPECIES
Mn 54.94 Mn.upf
Hg 200.59 Hg.upf
Br 79.90 Br.upf
F 19.00 F.upf
ATOMIC_POSITIONS angstrom
Mn 0.0000 0.0000 0.0000
Hg 3.0025 1.7924 0.0000
Hg 3.0025 -1.7924 0.0000
Hg 5.8222 0.0000 2.8754
Br 3.4332 0.0000 3.6420
Br 8.2112 0.0000 2.1088
F 4.9941 1.9555 1.0749
F 1.8346 0.0000 1.0481
F 6.6503 1.9555 4.6760
F 4.9941 -1.9555 1.0749
F 9.8098 0.0000 4.7028
F 6.6503 -1.9555 4.6760
CELL_PARAMETERS angstrom
6.0051 -3.5847 0.0000
6.0051 3.5847 0.0000
-0.3658 0.0000 5.7508